1.
Material: AlZnCrMo
Method: DFT, PBE-GGA
State: relaxed

abc: 6.0839 6.0839 6.0839
angles: 90.00 90.00 90.00
Fractional coordinates of all 16 atoms:
Al1 0.0000 0.0000 0.0000
Al2 0.0000 0.5000 0.5000
Al3 0.5000 0.0000 0.5000
Al4 0.5000 0.5000 0.0000
Zn1 0.2500 0.2500 0.2500
Zn2 0.2500 0.7500 0.7500
Zn3 0.7500 0.2500 0.7500
Zn4 0.7500 0.7500 0.2500
Cr1 0.0000 0.0000 0.5000
Cr2 0.0000 0.5000 0.0000
Cr3 0.5000 0.0000 0.0000
Cr4 0.5000 0.5000 0.5000
Mo1 0.2500 0.2500 0.7500
Mo2 0.2500 0.7500 0.2500
Mo3 0.7500 0.2500 0.2500
Mo4 0.7500 0.7500 0.7500

Values from the calculation:
- E (eV per atom) = -6.328
- energy of formation (eV per formula unit) = 0.16

2.
Material: AlCr2N
Method: DFT, PBE-GGA
State: relaxed

abc: 5.6359 5.6359 5.6359
angles: 90.00 90.00 90.00
Fractional coordinates of all 16 atoms:
Al1 0.0000 0.0000 0.0000
Al2 0.0000 0.5000 0.5000
Al3 0.5000 0.0000 0.5000
Al4 0.5000 0.5000 0.0000
Cr1 0.2500 0.2500 0.2500
Cr2 0.2500 0.2500 0.7500
Cr3 0.2500 0.7500 0.2500
Cr4 0.2500 0.7500 0.7500
Cr5 0.7500 0.2500 0.2500
Cr6 0.7500 0.2500 0.7500
Cr7 0.7500 0.7500 0.2500
Cr8 0.7500 0.7500 0.7500
N1 0.0000 0.0000 0.5000
N2 0.0000 0.5000 0.0000
N3 0.5000 0.0000 0.0000
N4 0.5000 0.5000 0.5000

Values from the calculation:
- formation energy from raw total energies (kcal/mol of atoms) = 25.00
- E (eV per atom) = -6.744

3.
Material: AlCrN2
Method: DFT, PBE-GGA
State: relaxed

abc: 5.4745 6.5110 4.9788
angles: 90.00 90.00 90.00
Fractional coordinates of all 16 atoms:
Al1 0.0817 0.1252 0.0000
Al2 0.4183 0.6252 0.5000
Al3 0.5817 0.3748 0.0000
Al4 0.9183 0.8748 0.5000
Cr1 0.0771 0.6254 0.9934
Cr2 0.4229 0.1254 0.4934
Cr3 0.5771 0.8746 0.9934
Cr4 0.9229 0.3746 0.4934
N1 0.0775 0.1160 0.3834
N2 0.0874 0.6347 0.3902
N3 0.4126 0.1347 0.8902
N4 0.4225 0.6160 0.8834
N5 0.5775 0.3840 0.3834
N6 0.5874 0.8653 0.3902
N7 0.9126 0.3653 0.8902
N8 0.9225 0.8840 0.8834

Values from the calculation:
- formation energy from raw total energies (kcal/mol of atoms) = -16.56
- E (eV per atom) = -8.222

4.
Material: AlCrN2
Method: DFT, PBE-GGA
State: relaxed

abc: 4.4758 4.4758 8.8146
angles: 90.00 90.00 90.00
Fractional coordinates of all 16 atoms:
Al1 0.0000 0.0000 0.0000
Al2 0.0000 0.5000 0.2500
Al3 0.5000 0.0000 0.7500
Al4 0.5000 0.5000 0.5000
Cr1 0.0000 0.0000 0.5000
Cr2 0.0000 0.5000 0.7500
Cr3 0.5000 0.0000 0.2500
Cr4 0.5000 0.5000 0.0000
N1 0.2390 0.2500 0.1250
N2 0.2500 0.7390 0.3750
N3 0.2500 0.7610 0.8750
N4 0.2610 0.2500 0.6250
N5 0.7390 0.7500 0.6250
N6 0.7500 0.2390 0.8750
N7 0.7500 0.2610 0.3750
N8 0.7610 0.7500 0.1250

Values from the calculation:
- formation energy from raw total energies (kcal/mol of atoms) = -16.84
- E (eV per atom) = -8.235

5.
Material: AlCrN3
Method: DFT, PBE-GGA
State: relaxed

abc: 3.6371 3.6371 3.6371
angles: 90.00 90.00 90.00
Fractional coordinates of all 5 atoms:
Al1 0.0000 0.0000 0.0000
Cr1 0.5000 0.5000 0.5000
N1 0.0000 0.0000 0.5000
N2 0.0000 0.5000 0.0000
N3 0.5000 0.0000 0.0000

Values from the calculation:
- formation energy from raw total energies (kcal/mol of atoms) = 26.21
- E (eV per atom) = -6.532

6.
Material: AlCr2N3
Method: DFT, PBE-GGA
State: relaxed

abc: 6.0017 6.0017 3.9342
angles: 90.00 90.00 55.80
Fractional coordinates of all 12 atoms:
Al1 0.1626 0.8374 0.7500
Al2 0.8374 0.1626 0.2500
Cr1 0.1611 0.4765 0.2500
Cr2 0.4765 0.1611 0.7500
Cr3 0.5235 0.8389 0.2500
Cr4 0.8389 0.5235 0.7500
N1 0.1595 0.5228 0.7500
N2 0.1812 0.8188 0.2500
N3 0.4772 0.8405 0.7500
N4 0.5228 0.1595 0.2500
N5 0.8188 0.1812 0.7500
N6 0.8405 0.4772 0.2500

Values from the calculation:
- formation energy from raw total energies (kcal/mol of atoms) = -13.67
- E (eV per atom) = -8.587

7.
Material: Al3CrN
Method: DFT, PBE-GGA
State: relaxed

abc: 3.9575 3.9575 3.9575
angles: 90.00 90.00 90.00
Fractional coordinates of all 5 atoms:
Al1 0.0000 0.0000 0.5000
Al2 0.0000 0.5000 0.0000
Al3 0.5000 0.0000 0.0000
Cr1 0.5000 0.5000 0.5000
N1 0.0000 0.0000 0.0000

Values from the calculation:
- formation energy from raw total energies (kcal/mol of atoms) = 1.94
- E (eV per atom) = -5.751
- offset from the most stable computed form (meV/atom) = 0.0

8.
Material: AlCrN2
Method: DFT, PBE-GGA
State: relaxed

abc: 2.9715 2.9715 16.7559
angles: 90.00 90.00 120.00
Fractional coordinates of all 12 atoms:
Al1 0.0000 0.0000 0.0000
Al2 0.3333 0.6667 0.6667
Al3 0.6667 0.3333 0.3333
Cr1 0.0000 0.0000 0.5000
Cr2 0.3333 0.6667 0.1667
Cr3 0.6667 0.3333 0.8333
N1 0.0000 0.0000 0.3949
N2 0.0000 0.0000 0.6051
N3 0.3333 0.6667 0.0615
N4 0.3333 0.6667 0.2718
N5 0.6667 0.3333 0.7282
N6 0.6667 0.3333 0.9385

Values from the calculation:
- formation energy from raw total energies (kcal/mol of atoms) = -3.10
- E (eV per atom) = -7.639

9.
Material: AlCrN3
Method: DFT, PBE-GGA
State: relaxed

abc: 3.6928 3.6928 3.6928
angles: 90.00 90.00 90.00
Fractional coordinates of all 5 atoms:
Al1 0.0000 0.0000 0.0000
Cr1 0.5000 0.5000 0.5000
N1 0.0000 0.5000 0.5000
N2 0.5000 0.0000 0.5000
N3 0.5000 0.5000 0.0000

Values from the calculation:
- formation energy from raw total energies (kcal/mol of atoms) = 15.72
- E (eV per atom) = -6.987

10.
Material: Al3CrN
Method: DFT, PBE-GGA
State: relaxed

abc: 4.7753 4.7753 4.7753
angles: 90.00 90.00 90.00
Fractional coordinates of all 5 atoms:
Al1 0.0000 0.0000 0.5000
Al2 0.0000 0.5000 0.0000
Al3 0.5000 0.0000 0.0000
Cr1 0.0000 0.0000 0.0000
N1 0.5000 0.5000 0.5000

Values from the calculation:
- formation energy from raw total energies (kcal/mol of atoms) = 34.27
- E (eV per atom) = -4.349
- offset from the most stable computed form (meV/atom) = 1401.9

11.
Material: AlCrN
Method: DFT, PBE-GGA
State: relaxed

abc: 2.7761 2.7772 8.9725
angles: 95.09 94.12 118.33
Fractional coordinates of all 6 atoms:
Al1 0.0000 0.0000 0.0000
Al2 0.1321 0.1508 0.2803
Cr1 0.5381 0.2134 0.7587
Cr2 0.9185 0.6327 0.5512
N1 0.5264 0.8817 0.4077
N2 0.7340 0.4089 0.1399

Values from the calculation:
- formation energy from raw total energies (kcal/mol of atoms) = -10.81
- E (eV per atom) = -7.699

12.
Material: AlCrN2
Method: DFT, PBE-GGA
State: relaxed

abc: 2.8422 2.8422 18.0790
angles: 90.00 90.00 120.00
Fractional coordinates of all 12 atoms:
Al1 0.0000 0.0000 0.0000
Al2 0.3333 0.6667 0.6667
Al3 0.6667 0.3333 0.3333
Cr1 0.0000 0.0000 0.5000
Cr2 0.3333 0.6667 0.1667
Cr3 0.6667 0.3333 0.8333
N1 0.0000 0.0000 0.1056
N2 0.0000 0.0000 0.8944
N3 0.3333 0.6667 0.5611
N4 0.3333 0.6667 0.7723
N5 0.6667 0.3333 0.2277
N6 0.6667 0.3333 0.4389

Values from the calculation:
- formation energy from raw total energies (kcal/mol of atoms) = -5.13
- E (eV per atom) = -7.727

13.
Material: AlCr2N
Method: DFT, PBE-GGA
State: relaxed

abc: 6.3999 6.3999 4.3771
angles: 90.00 90.00 90.00
Fractional coordinates of all 16 atoms:
Al1 0.0000 0.0000 0.0000
Al2 0.0000 0.5000 0.2500
Al3 0.5000 0.0000 0.7500
Al4 0.5000 0.5000 0.5000
Cr1 0.1481 0.2500 0.6250
Cr2 0.2500 0.6481 0.8750
Cr3 0.2500 0.8519 0.3750
Cr4 0.3519 0.2500 0.1250
Cr5 0.6481 0.7500 0.1250
Cr6 0.7500 0.1481 0.3750
Cr7 0.7500 0.3519 0.8750
Cr8 0.8519 0.7500 0.6250
N1 0.0000 0.0000 0.5000
N2 0.0000 0.5000 0.7500
N3 0.5000 0.0000 0.2500
N4 0.5000 0.5000 0.0000

Values from the calculation:
- formation energy from raw total energies (kcal/mol of atoms) = -0.39
- E (eV per atom) = -7.846

14.
Material: Nb2AlCrN
Method: DFT, PBE-GGA
State: relaxed

abc: 4.3244 4.3244 3.7552
angles: 90.00 90.00 90.00
Fractional coordinates of all 5 atoms:
Nb1 0.0000 0.5000 0.0000
Nb2 0.5000 0.0000 0.0000
Al1 0.0000 0.0000 0.5000
Cr1 0.5000 0.5000 0.5000
N1 0.5000 0.5000 0.0000

Values from the calculation:
- formation energy from raw total energies (kcal/mol of atoms) = -10.72
- E (eV per atom) = -8.831